Entry 1:
Computed, not measured: crystalline Tc2BBr at its relaxed geometry at the PBE level of DFT. Values from VASP.

Structure (Quantum ESPRESSO input):
```
&SYSTEM
  ibrav = 0, nat = 8, ntyp = 3
/
ATOMIC_SPECIES
Tc 98.00 Tc.upf
B 10.81 B.upf
Br 79.90 Br.upf
ATOMIC_POSITIONS angstrom
Tc 3.987 0.968 -1.212
Tc 0.968 1.329 1.212
Tc -1.329 1.690 3.635
Tc 1.690 1.329 6.058
B 0.000 0.000 0.000
B 0.000 2.658 2.423
Br 2.658 0.000 2.423
Br 0.000 0.000 4.846
CELL_PARAMETERS angstrom
-2.658 2.658 4.846
2.658 -2.658 4.846
2.658 2.658 -4.846
```

Calculated values
offset from the most stable computed form: 0.000 eV per atom
electronic total energy: -6.41 eV/atom
total moment: 0.32 Bohr magnetons per cell

Entry 2:
Computed, not measured: crystalline LiMg6Au12 at its relaxed geometry at the PBE level of DFT. Values from VASP.

Structure (Quantum ESPRESSO input):
```
&SYSTEM
  ibrav = 0, nat = 19, ntyp = 3
/
ATOMIC_SPECIES
Li 6.94 Li.upf
Mg 24.30 Mg.upf
Au 196.97 Au.upf
ATOMIC_POSITIONS angstrom
Li 0.000 0.000 0.000
Mg -0.912 -3.088 4.459
Mg -3.131 -0.754 7.191
Mg -2.219 2.334 4.459
Mg 2.219 -2.334 7.191
Mg 3.131 0.754 4.459
Mg 0.912 3.088 7.191
Au -1.651 0.361 1.979
Au 0.512 -1.610 1.979
Au -1.787 -0.446 4.704
Au 1.138 1.249 1.979
Au -0.507 -1.770 6.947
Au 1.280 -1.324 4.704
Au -1.280 1.324 6.947
Au 0.507 1.770 4.704
Au -1.138 -1.249 9.671
Au 1.787 0.446 6.947
Au -0.512 1.610 9.671
Au 1.651 -0.361 9.671
CELL_PARAMETERS angstrom
5.083 2.935 3.884
-5.083 2.935 3.884
0.000 -5.869 3.884
```

Calculated values
electronic total energy: -3.10 eV/atom
total moment: 0.00 Bohr magnetons per cell
formation enthalpy at 0 K: -41 kJ/mol of atoms

Entry 3:
Computed, not measured: crystalline Ta2CuSe at its relaxed geometry at the PBE level of DFT. Values from VASP.

Structure (Quantum ESPRESSO input):
```
&SYSTEM
  ibrav = 0, nat = 4, ntyp = 3
/
ATOMIC_SPECIES
Ta 180.95 Ta.upf
Cu 63.55 Cu.upf
Se 78.96 Se.upf
ATOMIC_POSITIONS angstrom
Ta -0.240 0.000 1.368
Ta 1.779 0.000 4.175
Cu 1.501 1.977 0.000
Se 0.770 1.977 2.772
CELL_PARAMETERS angstrom
3.001 0.000 0.000
0.000 3.955 0.000
-1.462 0.000 5.543
```

Calculated values
electronic total energy: -7.68 eV/atom
total moment: 0.00 Bohr magnetons per cell

Entry 4:
Computed, not measured: crystalline Pa2Ni9Ru at its relaxed geometry at the PBE level of DFT. Values from VASP.

Structure (Quantum ESPRESSO input):
```
&SYSTEM
  ibrav = 0, nat = 12, ntyp = 3
/
ATOMIC_SPECIES
Pa 231.04 Pa.upf
Ni 58.69 Ni.upf
Ru 101.07 Ru.upf
ATOMIC_POSITIONS angstrom
Pa 0.000 0.000 1.704
Pa 0.000 0.000 7.268
Ni 1.308 1.749 0.000
Ni 1.308 1.749 3.171
Ni 1.308 1.749 5.800
Ni 1.308 -1.749 0.000
Ni 1.308 -1.749 3.171
Ni 1.308 -1.749 5.800
Ni 2.616 0.000 1.491
Ni 2.616 0.000 4.486
Ni 2.616 0.000 7.480
Ru 0.000 0.000 4.486
CELL_PARAMETERS angstrom
2.616 -3.497 0.000
2.616 3.497 0.000
0.000 0.000 8.971
```

Calculated values
electronic total energy: -6.84 eV/atom
total moment: 0.00 Bohr magnetons per cell
formation enthalpy at 0 K: -14 kJ/mol of atoms

Entry 5:
Computed, not measured: crystalline CrRe2Hg at its relaxed geometry at the PBE level of DFT. Values from VASP.

Structure (Quantum ESPRESSO input):
```
&SYSTEM
  ibrav = 0, nat = 4, ntyp = 3
/
ATOMIC_SPECIES
Cr 52.00 Cr.upf
Re 186.21 Re.upf
Hg 200.59 Hg.upf
ATOMIC_POSITIONS angstrom
Cr 0.000 0.000 0.000
Re 0.000 0.000 4.878
Re 0.000 2.290 2.531
Hg 1.529 0.000 2.351
CELL_PARAMETERS angstrom
-1.529 2.290 4.503
1.529 -2.290 4.503
1.529 2.290 -4.503
```

Calculated values
electronic total energy: -7.99 eV/atom
total moment: 1.24 Bohr magnetons per cell
formation enthalpy at 0 K: 69 kJ/mol of atoms

Entry 6:
Computed, not measured: crystalline NaNbRhO4 at its relaxed geometry at the PBE level of DFT. Values from VASP.

Structure (Quantum ESPRESSO input):
```
&SYSTEM
  ibrav = 0, nat = 14, ntyp = 4
/
ATOMIC_SPECIES
Na 22.99 Na.upf
Nb 92.91 Nb.upf
Rh 102.91 Rh.upf
O 16.00 O.upf
ATOMIC_POSITIONS angstrom
Na 0.000 1.515 1.970
Na 2.745 1.515 3.794
Nb 2.745 0.000 0.000
Nb 0.000 0.000 5.764
Rh 1.372 1.515 -2.882
Rh 1.372 -1.515 2.882
O 2.745 -0.206 2.077
O 1.452 1.515 0.211
O 4.038 1.515 0.211
O 2.745 2.825 -2.077
O 0.000 0.206 7.841
O -1.293 1.515 5.553
O 1.293 1.515 5.553
O 0.000 3.237 3.687
CELL_PARAMETERS angstrom
-2.745 3.031 5.764
2.745 -3.031 5.764
2.745 3.031 -5.764
```

Calculated values
electronic total energy: -7.17 eV/atom
total moment: 0.30 Bohr magnetons per cell

Q: What is the electronic total energy in the fifth record?
A: -7.99 eV/atom

Q: electronic total energy of number 6 (NaNbRhO4)?
A: -7.17 eV/atom

Q: total moment of number 6 (NaNbRhO4)?
A: 0.30 Bohr magnetons per cell

Repeat the sixth record exactly.
Computed, not measured: crystalline NaNbRhO4 at its relaxed geometry at the PBE level of DFT. Values from VASP.

Structure (Quantum ESPRESSO input):
```
&SYSTEM
  ibrav = 0, nat = 14, ntyp = 4
/
ATOMIC_SPECIES
Na 22.99 Na.upf
Nb 92.91 Nb.upf
Rh 102.91 Rh.upf
O 16.00 O.upf
ATOMIC_POSITIONS angstrom
Na 0.000 1.515 1.970
Na 2.745 1.515 3.794
Nb 2.745 0.000 0.000
Nb 0.000 0.000 5.764
Rh 1.372 1.515 -2.882
Rh 1.372 -1.515 2.882
O 2.745 -0.206 2.077
O 1.452 1.515 0.211
O 4.038 1.515 0.211
O 2.745 2.825 -2.077
O 0.000 0.206 7.841
O -1.293 1.515 5.553
O 1.293 1.515 5.553
O 0.000 3.237 3.687
CELL_PARAMETERS angstrom
-2.745 3.031 5.764
2.745 -3.031 5.764
2.745 3.031 -5.764
```

Calculated values
electronic total energy: -7.17 eV/atom
total moment: 0.30 Bohr magnetons per cell